Material: Cd2PPt
Method: DFT, PBE-GGA
State: optimized geometry

Values from the calculation:
The space group is I-42d, No. 122. Its energy relative to the elements is 189 meV/atom. The calculation puts the calculated total energy at -3.13 eV/atom. The total magnetization comes out at 0.000 μB/atom.

a = 10.148 Å, b = 10.148 Å, c = 10.148 Å
α = 157.43°, β = 157.43°, γ = 32.13°
Atoms (fractional coordinates):
1 Cd 0.123 0.625 0.998
2 Cd 0.375 0.373 0.498
3 Cd 0.627 0.125 0.002
4 Cd 0.875 0.877 0.502
5 P 0.250 0.750 0.500
6 P 0.500 0.500 0.000
7 Pt 0.000 0.000 0.000
8 Pt 0.750 0.250 0.500


Material: CdPPt
Method: DFT, PBE-GGA
State: optimized geometry

Values from the calculation:
The space group is Amm2, No. 38. Its energy relative to the elements is -9 meV/atom. For the energy above the most stable polymorph in this dataset, the calculation gives 0.75 eV/f.u. The calculation puts the calculated total energy at -4.13 eV/atom. The total magnetization comes out at 0.000 μB/atom.

a = 3.896 Å, b = 4.782 Å, c = 4.782 Å
α = 54.76°, β = 90.00°, γ = 90.00°
Atoms (fractional coordinates):
1 Cd 0.000 0.000 0.000
2 P 0.000 0.312 0.312
3 Pt 0.500 0.440 0.440


Material: Cd2PPt
Method: DFT, PBE-GGA
State: optimized geometry

Values from the calculation:
The space group is F-43m, No. 216. Its energy relative to the elements is 183 meV/atom. The calculation puts the calculated total energy at -3.14 eV/atom. The total magnetization comes out at 0.000 μB/atom.

a = 4.694 Å, b = 4.694 Å, c = 4.694 Å
α = 60.00°, β = 60.00°, γ = 60.00°
Atoms (fractional coordinates):
1 Cd 0.000 0.000 0.000
2 Cd 0.250 0.250 0.250
3 P 0.500 0.500 0.500
4 Pt 0.750 0.750 0.750


Material: CdP2Pt
Method: DFT, PBE-GGA
State: optimized geometry

Values from the calculation:
The space group is Immm, No. 71. Its energy relative to the elements is 133 meV/atom. The calculation puts the calculated total energy at -4.31 eV/atom. The total magnetization comes out at 0.000 μB/atom.

a = 5.838 Å, b = 5.838 Å, c = 5.838 Å
α = 151.87°, β = 130.07°, γ = 58.29°
Atoms (fractional coordinates):
1 Cd 0.000 0.000 0.000
2 P 0.297 0.797 0.500
3 P 0.703 0.203 0.500
4 Pt 0.500 0.500 0.000


Material: CdP2Pt
Method: DFT, PBE-GGA
State: optimized geometry

Values from the calculation:
The space group is Pm, No. 6. Its energy relative to the elements is -51 meV/atom. The calculation puts the calculated total energy at -4.50 eV/atom. The total magnetization comes out at 0.000 μB/atom.

a = 3.979 Å, b = 3.288 Å, c = 6.131 Å
α = 90.00°, β = 108.35°, γ = 90.00°
Atoms (fractional coordinates):
1 Cd 0.000 0.000 0.000
2 P 0.283 0.500 0.504
3 P 0.945 0.000 0.545
4 Pt 0.618 0.500 0.242


Material: CdP2Pt
Method: DFT, PBE-GGA
State: optimized geometry

Values from the calculation:
The space group is P4/mmm, No. 123. Its energy relative to the elements is 122 meV/atom. The calculation puts the calculated total energy at -4.32 eV/atom. The total magnetization comes out at 0.000 μB/atom.

a = 3.612 Å, b = 3.612 Å, c = 5.520 Å
α = 90.00°, β = 90.00°, γ = 90.00°
Atoms (fractional coordinates):
1 Cd 0.000 0.000 0.000
2 P 0.500 0.500 0.310
3 P 0.500 0.500 0.690
4 Pt 0.000 0.000 0.500